DFT (PBE) results for a relaxed structure of CdCo4Ag.

Values from the calculation:
- symmetry = F-43m, No. 216
- formation energy from the elements (eV/atom) = 0.2593
- total magnetic moment (μB/f.u.) = 6.808

abc: 4.886 4.886 4.886
angles: 60.00 60.00 60.00
Fractional positions:
Cd  0.000  0.000  0.000
Co  0.125  0.625  0.625
Co  0.625  0.125  0.625
Co  0.625  0.625  0.125
Co  0.625  0.625  0.625
Ag  0.250  0.250  0.250